TmAl5Ag7 | PBE-GGA | optimized geometry

The calculation puts the density of states at the Fermi level at 4.758 states/eV/f.u. For the energy relative to the elements, the calculation gives -180 meV per atom. For the calculated volume, the calculation gives 462.94 Å³ per cell. The calculation puts the total energy at -90.966 eV for the cell shown.

The space group is Imm2 (No. 44) and the conventional cell measures 5.4234, 9.3060 and 9.1727 Å, with angles of 90.00, 90.00 and 90.00 degrees. The distinct sites, in fractional coordinates, are Tm at (0.0000, 0.0000, 0.0000), Al at (0.0000, 0.5000, 0.7242), Al at (0.2488, 0.2543, 0.2534), Ag at (0.0000, 0.0000, 0.3320), Ag at (0.0000, 0.0000, 0.6555), Ag at (0.0000, 0.2965, 0.5077), Ag at (0.0000, 0.3421, 0.9962) and Ag at (0.0000, 0.5000, 0.2790).

=====

CaCo2Cl | PBE-GGA | optimized geometry

The calculation puts the density of states at the Fermi level at 2.890 states/eV/f.u. The calculation puts the relative energy among the computed polymorphs at 343 meV/atom. For the calculated volume, the calculation gives 152.41 Å³ per cell. The calculation puts the total energy at -35.487 eV for the cell shown. As for the uncorrected formation energy: 0.079 eV per atom.

The space group is Imm2 (No. 44) and the conventional cell measures 3.5250, 5.4931 and 7.8712 Å, with angles of 90.00, 90.00 and 90.00 degrees. The distinct sites, in fractional coordinates, are Ca at (0.0000, 0.0000, 0.0000), Co at (0.0000, 0.0000, 0.5020), Co at (0.0000, 0.5000, 0.8283) and Cl at (0.0000, 0.5000, 0.2114).

=====

TbDyErTm2 | PBE-GGA | optimized geometry

The calculation puts the density of states at the Fermi level at 8.729 states/eV/f.u. For the energy relative to the elements, the calculation gives 374 meV per atom. For the calculated volume, the calculation gives 653.17 Å³ per cell. The calculation puts the total energy at -83.470 eV for the cell shown.

The space group is Cmcm (No. 63) and the conventional cell measures 6.2841, 16.5418 and 6.2834 Å, with angles of 90.00, 90.00 and 90.00 degrees. The distinct sites, in fractional coordinates, are Tb at (0.0000, 0.1565, 0.2500), Dy at (0.0000, 0.3437, 0.2500), Er at (0.0000, 0.2492, 0.7500) and Tm at (0.2499, 0.0000, 0.0000).

=====

CaAsO6 | PBE-GGA | optimized geometry

For the calculated volume, the calculation gives 454.15 Å³ per cell. The calculation puts the total energy at -174.304 eV for the cell shown. As for the uncorrected formation energy: -0.897 eV per atom.

The space group is Cc (No. 9) and the conventional cell measures 6.6262, 13.7748 and 5.9231 Å, with angles of 90.00, 122.86 and 90.00 degrees. The distinct sites, in fractional coordinates, are Ca at (0.0000, 0.0885, 0.0000), As at (0.4885, 0.0928, 0.0448), O at (0.0410, 0.2186, 0.3897), O at (0.0532, 0.3125, 0.3419), O at (0.2373, 0.0324, 0.8128), O at (0.2522, 0.4668, 0.6654), O at (0.3893, 0.3071, 0.1138) and O at (0.4103, 0.1549, 0.2341).

=====

NbGeNF2 | PBE-GGA | optimized geometry

The calculation puts the density of states at the Fermi level at 5.030 states/eV/f.u. The calculation puts the relative energy among the computed polymorphs at 783 meV/atom. For the calculated volume, the calculation gives 67.93 Å³ per cell. The calculation puts the total energy at -27.554 eV for the cell shown. As for the uncorrected formation energy: -0.160 eV per atom.

The space group is P4/mmm (No. 123) and the conventional cell measures 4.0923, 4.0923 and 4.0564 Å, with angles of 90.00, 90.00 and 90.00 degrees. The distinct sites, in fractional coordinates, are Nb at (0.0000, 0.0000, 0.0000), Ge at (0.5000, 0.5000, 0.5000), N at (0.5000, 0.5000, 0.0000) and F at (0.0000, 0.5000, 0.5000).

=====

LaTa2Mo | PBE-GGA | optimized geometry

The calculation puts the density of states at the Fermi level at 4.605 states/eV/f.u. For the energy relative to the elements, the calculation gives 509 meV per atom. The calculation puts the relative energy among the computed polymorphs at 303 meV/atom. For the calculated volume, the calculation gives 316.14 Å³ per cell. The calculation puts the total energy at -149.708 eV for the cell shown.

The space group is Fm-3m (No. 225) and the conventional cell measures 6.8123, 6.8123 and 6.8123 Å, with angles of 90.00, 90.00 and 90.00 degrees. The distinct sites, in fractional coordinates, are La at (0.0000, 0.0000, 0.0000), Ta at (0.2500, 0.2500, 0.2500) and Mo at (0.0000, 0.0000, 0.5000).

=====

CrIrSe2N | PBE-GGA | optimized geometry

The calculation puts the density of states at the Fermi level at 3.331 states/eV/f.u. The calculation puts the relative energy among the computed polymorphs at 0 meV/atom. For the calculated volume, the calculation gives 80.74 Å³ per cell. The calculation puts the total energy at -30.790 eV for the cell shown. As for the uncorrected formation energy: 0.598 eV per atom.

The space group is P4/mmm (No. 123) and the conventional cell measures 4.8522, 4.8522 and 3.4295 Å, with angles of 90.00, 90.00 and 90.00 degrees. The distinct sites, in fractional coordinates, are Cr at (0.0000, 0.0000, 0.0000), Ir at (0.5000, 0.5000, 0.5000), Se at (0.0000, 0.5000, 0.0000) and N at (0.0000, 0.0000, 0.5000).

=====

K2CaF5 | PBE-GGA | optimized geometry

The calculation puts the density of states at the Fermi level at 10.685 states/eV/f.u. For the calculated volume, the calculation gives 547.62 Å³ per cell. The calculation puts the total energy at -144.888 eV for the cell shown. As for the uncorrected formation energy: -2.834 eV per atom.

The space group is Pnma (No. 62) and the conventional cell measures 11.1608, 7.4290 and 6.6047 Å, with angles of 90.00, 90.00 and 90.00 degrees. The distinct sites, in fractional coordinates, are K at (0.1741, 0.0015, 0.0438), Ca at (0.0069, 0.2500, 0.5403), F at (0.0126, 0.2500, 0.8944), F at (0.0786, 0.5256, 0.6637), F at (0.1773, 0.2500, 0.3572) and F at (0.1898, 0.7500, 0.3544).

=====

Number 1: magnetic moment 0.00 μB/f.u.. Number 2: magnetic moment 2.99 μB/f.u.. Number 3: magnetic moment 0.01 μB/f.u.. Number 4: magnetic moment 3.00 μB/f.u.. Number 5: magnetic moment 3.12 μB/f.u.. Number 6: magnetic moment 0.00 μB/f.u.. Number 7: magnetic moment 0.96 μB/f.u.. Number 8: magnetic moment 1.06 μB/f.u..